{
  "formula": "Pm2Tm3In7",
  "functional": "PBE",
  "state": "optimized geometry",
  "delta_e_f_mev_per_atom": -191,
  "e_tot_ev_per_atom": -3.698,
  "dos_ef_per_ev_atom": 0.772,
  "sg": "No. 65",
  "m_tot_mub_per_fu": 0.00,
  "lattice": [[2.581, -12.868, 0.000], [2.581, 12.868, 0.000], [0.000, 0.000, 5.289]],
  "species": ["Pm", "Pm", "Tm", "Tm", "Tm", "In", "In", "In", "In", "In", "In", "In"],
  "fractional_positions": [[0.147, 0.853, 0.000], [0.853, 0.147, 0.000], [0.352, 0.648, 0.500], [0.500, 0.500, 0.500], [0.648, 0.352, 0.500], [0.000, 0.000, 0.000], [0.075, 0.925, 0.500], [0.278, 0.722, 0.000], [0.430, 0.570, 0.000], [0.570, 0.430, 0.000], [0.722, 0.278, 0.000], [0.925, 0.075, 0.500]]
}

---

{
  "formula": "V3FeOs3",
  "functional": "PBE",
  "state": "optimized geometry",
  "delta_e_f_mev_per_atom": 18,
  "e_tot_ev_per_atom": -9.912,
  "dos_ef_per_ev_atom": 0.699,
  "sg": "No. 65",
  "m_tot_mub_per_fu": 0.00,
  "lattice": [[4.007, -4.189, 0.000], [4.007, 4.189, 0.000], [0.000, 0.000, 5.886]],
  "species": ["V", "V", "V", "V", "V", "V", "Fe", "Fe", "Os", "Os", "Os", "Os", "Os", "Os"],
  "fractional_positions": [[0.000, 0.000, 0.249], [0.000, 0.000, 0.751], [0.000, 0.500, 0.242], [0.000, 0.500, 0.758], [0.500, 0.000, 0.242], [0.500, 0.000, 0.758], [0.247, 0.753, 0.000], [0.753, 0.247, 0.000], [0.257, 0.743, 0.500], [0.266, 0.266, 0.000], [0.267, 0.267, 0.500], [0.733, 0.733, 0.500], [0.734, 0.734, 0.000], [0.743, 0.257, 0.500]]
}

---

{
  "formula": "CsTl5Au2",
  "functional": "PBE",
  "state": "optimized geometry",
  "delta_e_f_mev_per_atom": -102,
  "e_tot_ev_per_atom": -2.507,
  "dos_ef_per_ev_atom": 0.289,
  "sg": "No. 71",
  "m_tot_mub_per_fu": 0.00,
  "lattice": [[-2.264, 4.472, 6.246], [2.264, -4.472, 6.246], [2.264, 4.472, -6.246]],
  "species": ["Cs", "Tl", "Tl", "Tl", "Tl", "Tl", "Au", "Au"],
  "fractional_positions": [[0.000, 0.000, 0.000], [0.152, 0.349, 0.803], [0.454, 0.651, 0.803], [0.500, 0.000, 0.500], [0.546, 0.349, 0.197], [0.848, 0.651, 0.197], [0.255, 0.755, 0.500], [0.745, 0.245, 0.500]]
}

---

{
  "formula": "BeCd2Fe",
  "functional": "PBE",
  "state": "optimized geometry",
  "delta_e_f_mev_per_atom": 496,
  "e_tot_ev_per_atom": -3.008,
  "dos_ef_per_ev_atom": 0.929,
  "sg": "No. 216",
  "m_tot_mub_per_fu": 2.36,
  "lattice": [[0.000, 3.159, 3.159], [3.159, 0.000, 3.159], [3.159, 3.159, 0.000]],
  "species": ["Be", "Cd", "Cd", "Fe"],
  "fractional_positions": [[0.000, 0.000, 0.000], [0.250, 0.250, 0.250], [0.500, 0.500, 0.500], [0.750, 0.750, 0.750]]
}